Record 1
Below is a relaxed LaPdNO2 crystal, with properties calculated at the GGA-PBEsol level.

E (eV/atom): -5.897
ΔE_f (raw) (eV per atom): 0.17
Total magnetization (μB/atom): 0.614

Lattice parameters (Å, degrees): 4.307 4.307 4.886 90.00 90.00 90.00
Fractional coordinates of all 5 atoms:
La (0.000, 0.000, 0.000)
Pd (0.500, 0.500, 0.500)
N (0.000, 0.000, 0.500)
O (0.000, 0.500, 0.000)
O (0.500, 0.000, 0.000)

Record 2
Below is a relaxed La5S4NO2 crystal, with properties calculated at the GGA-PBEsol level.

E (eV/atom): -7.831
ΔE_f (raw) (eV per atom): -2.56
Total magnetization (μB/atom): 0.000

Lattice parameters (Å, degrees): 8.036 8.036 16.503 100.88 100.88 29.26
Fractional coordinates of all 24 atoms:
La (0.017, 0.017, 0.168)
La (0.078, 0.078, 0.594)
La (0.268, 0.268, 0.208)
La (0.359, 0.359, 0.586)
La (0.375, 0.375, 0.975)
La (0.625, 0.625, 0.025)
La (0.641, 0.641, 0.414)
La (0.732, 0.732, 0.792)
La (0.922, 0.922, 0.406)
La (0.983, 0.983, 0.832)
S (0.177, 0.177, 0.900)
S (0.286, 0.286, 0.405)
S (0.342, 0.342, 0.757)
S (0.456, 0.456, 0.285)
S (0.544, 0.544, 0.715)
S (0.658, 0.658, 0.243)
S (0.714, 0.714, 0.595)
S (0.823, 0.823, 0.100)
N (0.074, 0.074, 0.451)
N (0.926, 0.926, 0.549)
O (0.139, 0.139, 0.097)
O (0.497, 0.497, 0.086)
O (0.503, 0.503, 0.914)
O (0.861, 0.861, 0.903)

Record 3
Below is a relaxed LaSnN2O crystal, with properties calculated at the GGA-PBEsol level.

E (eV/atom): -6.132
ΔE_f (raw) (eV per atom): 0.25
Total magnetization (μB/atom): 0.184

Lattice parameters (Å, degrees): 4.393 4.393 4.413 90.00 90.00 90.00
Fractional coordinates of all 5 atoms:
La (0.000, 0.000, 0.000)
Sn (0.500, 0.500, 0.500)
N (0.000, 0.500, 0.000)
N (0.500, 0.000, 0.000)
O (0.000, 0.000, 0.500)

Record 4
Below is a relaxed SrLaN2O crystal, with properties calculated at the GGA-PBEsol level.

E (eV/atom): -6.539
ΔE_f (raw) (eV per atom): -0.64
Total magnetization (μB/atom): 0.131

Lattice parameters (Å, degrees): 4.362 4.362 4.518 90.00 90.00 90.00
Fractional coordinates of all 5 atoms:
Sr (0.000, 0.000, 0.000)
La (0.500, 0.500, 0.500)
N (0.000, 0.500, 0.500)
N (0.500, 0.000, 0.500)
O (0.500, 0.500, 0.000)

Record 5
Below is a relaxed SrLaTa2N3O3 crystal, with properties calculated at the GGA-PBEsol level.

E (eV/atom): -9.613
ΔE_f (raw) (eV per atom): -2.25
Total magnetization (μB/atom): 0.000

Lattice parameters (Å, degrees): 5.632 5.636 8.193 89.97 89.97 89.07
Fractional coordinates of all 20 atoms:
Sr (0.000, 0.000, 0.000)
Sr (0.500, 0.472, 0.503)
La (0.010, 0.967, 0.501)
La (0.507, 0.510, 0.003)
Ta (0.007, 0.496, 0.758)
Ta (0.494, 0.980, 0.755)
Ta (0.508, 0.995, 0.255)
Ta (0.993, 0.478, 0.257)
N (0.019, 0.486, 0.496)
N (0.207, 0.773, 0.758)
N (0.443, 0.001, 0.496)
N (0.521, 0.967, 0.996)
N (0.789, 0.188, 0.263)
N (0.940, 0.488, 0.996)
O (0.190, 0.783, 0.234)
O (0.291, 0.289, 0.219)
O (0.298, 0.285, 0.772)
O (0.690, 0.688, 0.264)
O (0.701, 0.688, 0.728)
O (0.799, 0.178, 0.725)

Record 6
Below is a relaxed LaTa2NO5 crystal, with properties calculated at the GGA-PBEsol level.

E (eV/atom): -10.057
ΔE_f (raw) (eV per atom): -2.81
Total magnetization (μB/atom): 0.000
Energy relative to the lowest polymorph listed for this composition (eV per formula unit): 0.067

Lattice parameters (Å, degrees): 5.463 7.654 11.146 90.02 90.06 90.01
Fractional coordinates of all 36 atoms:
La (0.000, 0.000, 0.000)
La (0.090, 0.506, 0.076)
La (0.494, 0.505, 0.580)
La (0.593, 0.000, 0.503)
Ta (0.006, 0.256, 0.684)
Ta (0.007, 0.752, 0.682)
Ta (0.078, 0.247, 0.398)
Ta (0.079, 0.747, 0.391)
Ta (0.504, 0.755, 0.896)
Ta (0.506, 0.250, 0.896)
Ta (0.586, 0.249, 0.184)
Ta (0.595, 0.753, 0.187)
N (0.002, 0.004, 0.394)
N (0.089, 0.503, 0.688)
N (0.594, 0.004, 0.895)
N (0.918, 0.692, 0.244)
O (0.167, 0.812, 0.832)
O (0.169, 0.195, 0.833)
O (0.204, 0.503, 0.420)
O (0.271, 0.216, 0.565)
O (0.278, 0.791, 0.570)
O (0.315, 0.218, 0.066)
O (0.318, 0.787, 0.062)
O (0.393, 0.502, 0.919)
O (0.419, 0.201, 0.330)
O (0.422, 0.806, 0.332)
O (0.493, 0.501, 0.184)
O (0.668, 0.309, 0.749)
O (0.668, 0.697, 0.749)
O (0.687, 0.005, 0.162)
O (0.771, 0.291, 0.018)
O (0.772, 0.715, 0.014)
O (0.814, 0.290, 0.516)
O (0.818, 0.716, 0.516)
O (0.886, 0.003, 0.662)
O (0.912, 0.314, 0.249)

Question: Among the records above, which one has the highest total magnetization?
Answer: LaPdNO2